# 1
The following is a GGA-PBE calculation of a relaxed structure of MoIr3Pd, from the Alexandria database.

The structure in CIF format:
```
data_MoIr3Pd
_chemical_formula_sum 'Mo1 Ir3 Pd1'
_symmetry_space_group_name_H-M 'P m -3 m'
_symmetry_Int_Tables_number 221
_symmetry_space_group_name_Hall '-P 4 2 3'
_cell_length_a 4.644
_cell_length_b 4.644
_cell_length_c 4.644
_cell_angle_alpha 90.00
_cell_angle_beta 90.00
_cell_angle_gamma 90.00
loop_
_atom_site_label
_atom_site_type_symbol
_atom_site_fract_x
_atom_site_fract_y
_atom_site_fract_z
Mo1 Mo 0.000 0.000 0.000
Ir1 Ir 0.000 0.500 0.500
Pd1 Pd 0.500 0.500 0.500
```

Values from the calculation:
**V**: 100.1 Å³/cell
**Energy of formation from the pure elements**: 11.9 eV/f.u.
**Crystal system**: cubic
**ρ**: 12.9 Mg/m³
**Total magnetic moment**: 0.0 μB/f.u.


# 2
The following is a GGA-PBE calculation of a relaxed structure of Sr2GaAg, from the Alexandria database.

The structure in CIF format:
```
data_Sr2GaAg
_chemical_formula_sum 'Sr6 Ga3 Ag3'
_symmetry_space_group_name_H-M 'R -3 m'
_symmetry_Int_Tables_number 166
_symmetry_space_group_name_Hall '-R 3 2"'
_cell_length_a 4.2252
_cell_length_b 4.2252
_cell_length_c 31.6195
_cell_angle_alpha 90.00
_cell_angle_beta 90.00
_cell_angle_gamma 120.00
loop_
_atom_site_label
_atom_site_type_symbol
_atom_site_fract_x
_atom_site_fract_y
_atom_site_fract_z
Sr1 Sr 0.0000 0.0000 0.1025
Ga1 Ga 0.0000 0.0000 0.0000
Ag1 Ag 0.0000 0.0000 0.5000
```

Values from the calculation:
**V**: 488.9 Å³/cell
**Energy of formation from the pure elements**: 0.6 eV/f.u.
**Crystal system**: trigonal
**ρ**: 3.6 Mg/m³
**Total magnetic moment**: 0.0 μB/f.u.


# 3
The following is a GGA-PBE calculation of a relaxed structure of Sm5Zn2Hg, from the Alexandria database.

The structure in CIF format:
```
data_Sm5Zn2Hg
_chemical_formula_sum 'Sm20 Zn8 Hg4'
_symmetry_space_group_name_H-M 'I 4/m c m'
_symmetry_Int_Tables_number 140
_symmetry_space_group_name_Hall '-I 4 2c'
_cell_length_a 7.529
_cell_length_b 7.529
_cell_length_c 15.786
_cell_angle_alpha 90.00
_cell_angle_beta 90.00
_cell_angle_gamma 90.00
loop_
_atom_site_label
_atom_site_type_symbol
_atom_site_fract_x
_atom_site_fract_y
_atom_site_fract_z
Sm1 Sm 0.000 0.000 0.000
Sm2 Sm 0.170 0.330 0.148
Zn1 Zn 0.120 0.380 0.500
Hg1 Hg 0.000 0.000 0.250
```

Values from the calculation:
**V**: 894.9 Å³/cell
**Energy of formation from the pure elements**: -2.0 eV/f.u.
**Crystal system**: tetragonal
**ρ**: 8.0 Mg/m³
**Total magnetic moment**: 0.0 μB/f.u.


# 4
The following is a GGA-PBE calculation of a relaxed structure of Zr2TlRh, from the Alexandria database.

The structure in CIF format:
```
data_Zr2TlRh
_chemical_formula_sum 'Zr4 Tl2 Rh2'
_symmetry_space_group_name_H-M 'I -4 m 2'
_symmetry_Int_Tables_number 119
_symmetry_space_group_name_Hall 'I -4 -2'
_cell_length_a 4.123
_cell_length_b 4.123
_cell_length_c 9.539
_cell_angle_alpha 90.00
_cell_angle_beta 90.00
_cell_angle_gamma 90.00
loop_
_atom_site_label
_atom_site_type_symbol
_atom_site_fract_x
_atom_site_fract_y
_atom_site_fract_z
Zr1 Zr 0.000 0.000 0.000
Zr2 Zr 0.000 0.500 0.250
Tl1 Tl 0.000 0.000 0.500
Rh1 Rh 0.000 0.500 0.750
```

Values from the calculation:
**V**: 162.1 Å³/cell
**Energy of formation from the pure elements**: -1.0 eV/f.u.
**Crystal system**: tetragonal
**ρ**: 10.0 Mg/m³
**Total magnetic moment**: 0.0 μB/f.u.


# 5
The following is a GGA-PBE calculation of a relaxed structure of SbAsOsI2, from the Alexandria database.

The structure in CIF format:
```
data_SbAsOsI2
_chemical_formula_sum 'Sb1 As1 Os1 I2'
_symmetry_space_group_name_H-M 'P 4/m m m'
_symmetry_Int_Tables_number 123
_symmetry_space_group_name_Hall '-P 4 2'
_cell_length_a 5.492
_cell_length_b 5.492
_cell_length_c 5.597
_cell_angle_alpha 90.00
_cell_angle_beta 90.00
_cell_angle_gamma 90.00
loop_
_atom_site_label
_atom_site_type_symbol
_atom_site_fract_x
_atom_site_fract_y
_atom_site_fract_z
Sb1 Sb 0.000 0.000 0.000
As1 As 0.000 0.000 0.500
Os1 Os 0.500 0.500 0.000
I1 I 0.000 0.500 0.500
```

Values from the calculation:
**V**: 168.8 Å³/cell
**Crystal system**: tetragonal
**ρ**: 6.3 Mg/m³
**Uncorrected formation energy**: 1.62 eV/atom
**Total magnetic moment**: 3.7 μB/f.u.


# 6
The following is a GGA-PBE calculation of a relaxed structure of Cs5NpSe6, from the Alexandria database.

The structure in CIF format:
```
data_Cs5NpSe6
_chemical_formula_sum 'Cs10 Np2 Se12'
_symmetry_space_group_name_H-M 'C 1 2/m 1'
_symmetry_Int_Tables_number 12
_symmetry_space_group_name_Hall '-C 2y'
_cell_length_a 8.709
_cell_length_b 14.893
_cell_length_c 8.455
_cell_angle_alpha 90.00
_cell_angle_beta 110.45
_cell_angle_gamma 90.00
loop_
_atom_site_label
_atom_site_type_symbol
_atom_site_fract_x
_atom_site_fract_y
_atom_site_fract_z
Cs1 Cs 0.000 0.000 0.000
Cs2 Cs 0.000 0.165 0.500
Cs3 Cs 0.000 0.328 0.000
Np1 Np 0.000 0.500 0.500
Se1 Se 0.185 0.500 0.304
Se2 Se 0.193 0.372 0.697
```

Values from the calculation:
**V**: 1027.6 Å³/cell
**Crystal system**: monoclinic
**ρ**: 4.4 Mg/m³
**Uncorrected formation energy**: -1.06 eV/atom
**Total magnetic moment**: 0.1 μB/f.u.